## YZrBi2 (PBE)

Data for crystalline YZrBi2 at its relaxed geometry.

Summary:
- total magnetic moment (μB per atom) = 0.000
- SG = I-42d (122)
- energy relative to the lowest polymorph listed for this composition (meV/atom) = 576
- formation enthalpy at 0 K (meV/atom) = 45

Cell lengths 6.915, 6.915, 8.368 Å; angles 65.59, 65.59, 90.00 degrees
Fractional positions:
Bi (0.875, 0.897, 0.750)
Bi (0.647, 0.125, 0.250)
Bi (0.103, 0.625, 0.250)
Bi (0.375, 0.353, 0.750)
Zr (0.750, 0.250, 0.500)
Zr (0.000, 0.000, 0.000)
Y (0.250, 0.750, 0.500)
Y (0.500, 0.500, 0.000)